[1]
Material: CuSi2Pb
Method: DFT, GGA-PBE
State: optimized geometry

Symmetry   No. 71
Crystal system   orthorhombic
Final energy   -16.652 eV for the cell shown
Magnetic moment   0.000 μB/atom

Geometry as extended XYZ:
```
4
Lattice="-5.2060 -2.4225 -0.6398 -0.7929 -3.5983 -4.4501 2.6157 1.3389 4.9745" Properties=species:S:1:pos:R:3 pbc="T T T"
Cu -2.7949 -2.0470 0.8949
Pb -0.5883 -2.6349 -1.0103
Si -5.7473 -5.7683 -4.8764
Si -3.2510 -3.2629 -2.7584
```


[2]
Material: Cu2SiPb
Method: DFT, GGA-PBE
State: optimized geometry

Symmetry   No. 123
Crystal system   tetragonal
Final energy   -16.247 eV for the cell shown
Magnetic moment   0.000 μB/atom
E above lowest polymorph   174.5 meV/atom

Geometry as extended XYZ:
```
4
Lattice="-0.6056 -1.4161 -2.7224 1.6717 -2.4804 0.9184 -5.9113 -2.9324 2.8403" Properties=species:S:1:pos:R:3 pbc="T T T"
Cu -5.4873 -2.7220 2.6365
Cu -3.3797 -1.6765 1.6239
Pb -0.9448 -2.6813 -0.1919
Si -3.9004 -4.1475 1.2282
```